Record 1
7
Lattice="5.448 0.000 0.000 -2.724 6.671 -0.327 0.000 -3.475 7.597" Properties=species:S:1:pos:R:3 comment="PBE Rb2Tl3Pb2, relaxed" formation_energy_kj_per_mol_atoms=-7 magnetic_moment_mub_per_fu=0.0 polymorph_energy_ev_per_atom=0.000 pbc="T T T"
Rb 0.000 -0.595 5.747
Pb 0.000 0.934 1.647
Tl 0.000 3.253 3.978
Tl 2.724 0.000 0.000
Rb 2.724 3.791 1.522
Pb 2.724 2.262 5.623
Tl 2.724 -0.057 3.292

Record 2
10
Lattice="6.922 0.000 0.000 0.000 6.922 0.000 0.000 0.000 4.412" Properties=species:S:1:pos:R:3 comment="PBE Hf2In2Pd, relaxed" formation_energy_kj_per_mol_atoms=-17 magnetic_moment_mub_per_fu=0.0 pbc="T T T"
Pd 3.461 3.461 0.000
In 0.994 2.467 0.000
In 2.467 5.928 0.000
Hf 4.599 5.785 2.206
Hf 1.137 4.599 2.206
Hf 2.324 1.137 2.206
In 4.455 0.994 0.000
Pd 0.000 0.000 0.000
Hf 5.785 2.324 2.206
In 5.928 4.455 0.000

Record 3
5
Lattice="6.386 0.000 0.000 0.000 6.386 0.000 0.000 0.000 5.266" Properties=species:S:1:pos:R:3 comment="PBE Ba2SrMgCu, relaxed" formation_energy_kj_per_mol_atoms=5 magnetic_moment_mub_per_fu=0.0 polymorph_energy_ev_per_atom=0.000 pbc="T T T"
Sr 3.193 3.193 2.633
Ba 0.000 3.193 0.000
Mg 0.000 0.000 2.633
Cu 0.000 0.000 0.000
Ba 3.193 0.000 0.000

Record 4
12
Lattice="8.031 0.000 0.000 0.000 4.299 0.000 0.000 0.000 5.868" Properties=species:S:1:pos:R:3 comment="PBE YSiH, relaxed" magnetic_moment_mub_per_fu=0.0 polymorph_energy_ev_per_atom=0.285 pbc="T T T"
H 4.253 1.075 0.637
Si 2.902 1.075 1.512
Si 6.918 1.075 1.422
H 7.794 3.224 3.571
Y 4.928 3.224 1.460
Y 3.102 1.075 4.408
Si 5.128 3.224 4.356
Y 0.913 3.224 1.474
Y 7.118 1.075 4.394
H 0.237 1.075 2.297
H 3.778 3.224 5.231
Si 1.113 3.224 4.447

Record 5
10
Lattice="5.333 0.000 0.000 0.000 8.966 -0.191 0.000 -4.215 7.915" Properties=species:S:1:pos:R:3 comment="PBE HoTm7Pb2, relaxed" formation_energy_kj_per_mol_atoms=28 magnetic_moment_mub_per_fu=0.5 pbc="T T T"
Pb 2.667 -0.180 5.434
Tm 2.667 2.440 0.421
Tm 2.667 -0.725 2.367
Tm 2.667 2.311 7.304
Tm 0.000 6.059 1.597
Tm 2.667 2.375 3.862
Pb 2.667 4.931 2.291
Ho 0.000 0.000 0.000
Tm 0.000 -1.309 6.128
Tm 2.667 5.476 5.358

Record 6
12
Lattice="7.749 0.003 0.000 -3.870 6.714 0.000 -1.294 -2.241 8.154" Properties=species:S:1:pos:R:3 comment="PBE Nd2ScTl3Te6, relaxed" formation_energy_uncorrected_ev_per_atom=-1.015 magnetic_moment_mub_per_fu=0.0 pbc="T T T"
Te -0.074 -0.128 6.377
Sc 0.000 0.000 0.000
Te 2.659 4.604 1.776
Nd 3.866 2.246 0.000
Nd 0.013 4.471 0.000
Tl -2.513 4.436 4.077
Te 2.437 -0.001 1.733
Te 3.804 2.365 6.420
Tl 5.098 0.040 4.077
Te -1.219 2.111 1.733
Tl 1.293 2.238 4.077
Te 0.148 4.477 6.420